(1)
CdSb2TeS | PBE | relaxed

Calculated values
* polymorph energy (0 for the lowest one): 494 meV per atom
* N(E_F): 7.8 states/eV per cell
* E_form (uncorrected): 0.9804 eV/atom

Cell lengths 5.5482, 5.5482, 5.3940 Å; angles 90.00, 90.00, 90.00 degrees
Space group P4/mmm (No. 123)
Symmetry-distinct sites (fractional):
Cd 0.0000 0.0000 0.0000 [1 per cell]
Sb 0.0000 0.5000 0.0000 [2 per cell]
Te 0.0000 0.0000 0.5000 [1 per cell]
S 0.5000 0.5000 0.5000 [1 per cell]

(2)
Tl2CdSbS4 | PBE | relaxed

Calculated values
* N(E_F): 6.2 states/eV per cell
* E_form (uncorrected): -0.2951 eV/atom

Cell lengths 8.1321, 9.5014, 6.3425 Å; angles 90.00, 90.00, 90.00 degrees
Space group Pmn2_1 (No. 31)
Symmetry-distinct sites (fractional):
Tl 0.2460 0.1449 0.0000 [4 per cell]
Cd 0.0000 0.6437 0.9476 [2 per cell]
Sb 0.0000 0.3739 0.4524 [2 per cell]
S 0.0000 0.3841 0.0641 [2 per cell]
S 0.0000 0.6387 0.5353 [2 per cell]
S 0.2365 0.2113 0.5205 [4 per cell]

(3)
Tl3Cd2SbS6 | PBE | relaxed

Calculated values
* N(E_F): 1.2 states/eV per cell
* E_form (uncorrected): -0.3565 eV/atom

Cell lengths 6.8273, 11.8164, 7.6582 Å; angles 90.00, 106.41, 90.00 degrees
Space group C2/m (No. 12)
Symmetry-distinct sites (fractional):
Tl 0.0000 0.0000 0.0000 [2 per cell]
Tl 0.0000 0.3258 0.0000 [4 per cell]
Cd 0.0000 0.1658 0.5000 [4 per cell]
Sb 0.0000 0.5000 0.5000 [2 per cell]
S 0.2224 0.3450 0.6912 [8 per cell]
S 0.2421 0.5000 0.2912 [4 per cell]

(4)
YCdSb2S | PBE | relaxed

Calculated values
* N(E_F): 5.6 states/eV per cell
* E_form (uncorrected): 0.0664 eV/atom

Cell lengths 5.9108, 5.9108, 5.0825 Å; angles 90.00, 90.00, 90.00 degrees
Space group P4/mmm (No. 123)
Symmetry-distinct sites (fractional):
Y 0.0000 0.0000 0.0000 [1 per cell]
Cd 0.5000 0.5000 0.5000 [1 per cell]
Sb 0.0000 0.5000 0.0000 [2 per cell]
S 0.0000 0.0000 0.5000 [1 per cell]

(5)
ScCdS2 | PBE | relaxed

Calculated values
* N(E_F): 4.8 states/eV per cell
* E_form (uncorrected): -1.1357 eV/atom

Cell lengths 6.4316, 3.7154, 7.2511 Å; angles 90.00, 107.05, 90.00 degrees
Space group Cm (No. 8)
Symmetry-distinct sites (fractional):
Sc 0.0000 0.0000 0.0000 [2 per cell]
Cd 0.3347 0.5000 0.5027 [2 per cell]
S 0.0970 0.5000 0.7906 [2 per cell]
S 0.4053 0.0000 0.2176 [2 per cell]

(6)
Sc5CdS8 | PBE | relaxed

Calculated values
* N(E_F): 17.4 states/eV per cell
* E_form (uncorrected): -1.6927 eV/atom

Cell lengths 10.7896, 10.7896, 10.7896 Å; angles 90.00, 90.00, 90.00 degrees
Space group F-43m (No. 216)
Symmetry-distinct sites (fractional):
Sc 0.0000 0.0000 0.0000 [4 per cell]
Sc 0.1228 0.1228 0.6228 [16 per cell]
Cd 0.2500 0.2500 0.2500 [4 per cell]
S 0.1147 0.1147 0.3853 [16 per cell]
S 0.1325 0.1325 0.8675 [16 per cell]

(7)
ScCdS2 | PBE | relaxed

Calculated values
* N(E_F): 4.4 states/eV per cell
* E_form (uncorrected): -0.5177 eV/atom

Cell lengths 3.9848, 3.9848, 22.8613 Å; angles 90.00, 90.00, 120.00 degrees
Space group R-3m (No. 166, hexagonal axes)
Symmetry-distinct sites (fractional):
Sc 0.0000 0.0000 0.0000 [3 per cell]
Cd 0.0000 0.0000 0.5000 [3 per cell]
S 0.0000 0.0000 0.1035 [6 per cell]

(8)
Sc2CdS | PBE | relaxed

Calculated values
* polymorph energy (0 for the lowest one): 551 meV per atom
* N(E_F): 15.2 states/eV per cell
* E_form (uncorrected): -0.4480 eV/atom

Cell lengths 6.8433, 6.8433, 6.8433 Å; angles 90.00, 90.00, 90.00 degrees
Space group Fm-3m (No. 225)
Symmetry-distinct sites (fractional):
Sc 0.2500 0.2500 0.2500 [8 per cell]
Cd 0.0000 0.0000 0.0000 [4 per cell]
S 0.0000 0.0000 0.5000 [4 per cell]

(9)
ScCdS2 | PBE | relaxed

Calculated values
* N(E_F): 15.8 states/eV per cell
* E_form (uncorrected): -0.9944 eV/atom

Cell lengths 6.0741, 6.0741, 11.3944 Å; angles 90.00, 90.00, 90.00 degrees
Space group I-42d (No. 122)
Symmetry-distinct sites (fractional):
Sc 0.0000 0.0000 0.0000 [4 per cell]
Cd 0.0000 0.0000 0.5000 [4 per cell]
S 0.2247 0.2500 0.1250 [8 per cell]

(10)
Sc2CdS | PBE | relaxed

Calculated values
* polymorph energy (0 for the lowest one): 671 meV per atom
* N(E_F): 11.1 states/eV per cell
* E_form (uncorrected): -0.3277 eV/atom

Cell lengths 3.6551, 3.6551, 27.1338 Å; angles 90.00, 90.00, 120.00 degrees
Space group R-3m (No. 166, hexagonal axes)
Symmetry-distinct sites (fractional):
Sc 0.0000 0.0000 0.0855 [6 per cell]
Cd 0.0000 0.0000 0.5000 [3 per cell]
S 0.0000 0.0000 0.0000 [3 per cell]

(11)
Sc2Cd2S | PBE | relaxed

Calculated values
* N(E_F): 6.3 states/eV per cell
* E_form (uncorrected): -0.6617 eV/atom

Cell lengths 6.7468, 6.7468, 4.9843 Å; angles 90.00, 90.00, 90.00 degrees
Space group P4/mbm (No. 127)
Symmetry-distinct sites (fractional):
Sc 0.1681 0.3319 0.0000 [4 per cell]
Cd 0.1468 0.6468 0.5000 [4 per cell]
S 0.0000 0.0000 0.0000 [2 per cell]

(12)
ScCdS3 | PBE | relaxed

Calculated values
* polymorph energy (0 for the lowest one): 512 meV per atom
* N(E_F): 1.6 states/eV per cell
* E_form (uncorrected): 0.0351 eV/atom

Cell lengths 4.8770, 4.8770, 4.8770 Å; angles 90.00, 90.00, 90.00 degrees
Space group Pm-3m (No. 221)
Symmetry-distinct sites (fractional):
Sc 0.0000 0.0000 0.0000 [1 per cell]
Cd 0.5000 0.5000 0.5000 [1 per cell]
S 0.0000 0.5000 0.5000 [3 per cell]